Below is Ca2SbOs after structural relaxation, with properties calculated at the PBE level.

Lattice parameters (Å, degrees): 3.4480 5.0455 11.6400 90.00 90.00 90.00
Last column: nearest neighbours and their distance in Å.
Space group Imm2 (No. 44)
Unique sites:
1 Ca 0.0000 0.0000 0.0000 [2 per cell]  2 Os 3.09, 4 Sb 3.30, 4 Ca 3.44-3.45
2 Ca 0.0000 0.5000 0.2011 [2 per cell]  4 Os 3.06, 2 Sb 3.37
3 Sb 0.0000 0.0000 0.3930 [2 per cell]  2 Os 2.65
4 Os 0.0000 0.5000 0.7202 [2 per cell]  2 Sb 2.65

Results
Density of states at the Fermi level = 1.12 states/eV per atom
Total magnetization = 0.0 μB per cell
Crystal system = orthorhombic
Formation energy without anion corrections = -67 meV per atom

---

Below is BeHg5 after structural relaxation, with properties calculated at the PBE level.

Lattice parameters (Å, degrees): 3.1717 3.1717 13.5945 90.00 90.00 90.00
Last column: nearest neighbours and their distance in Å.
Space group P4/mmm (No. 123)
Unique sites:
1 Be 0.0000 0.0000 0.0000 [1 per cell]  8 Hg 2.73
2 Hg 0.0000 0.0000 0.3035 [2 per cell]  12 Hg 3.17-3.49
3 Hg 0.5000 0.5000 0.1146 [2 per cell]  4 Be 2.73
4 Hg 0.5000 0.5000 0.5000 [1 per cell]  12 Hg 3.17-3.49

Results
Density of states at the Fermi level = 0.28 states/eV per atom
Total magnetization = 0.0 μB per cell
Formation enthalpy at 0 K = 0.236 eV/atom
Crystal system = tetragonal
Polymorph energy (0 for the lowest one) = 45.9 meV/atom

---

Below is Zr2ScTaN after structural relaxation, with properties calculated at the PBE level.

Lattice parameters (Å, degrees): 4.6621 4.6621 4.1908 90.00 90.00 90.00
Last column: nearest neighbours and their distance in Å.
Space group P4/mmm (No. 123)
Unique sites:
1 Zr 0.0000 0.5000 0.0000 [2 per cell]  2 N 2.33
2 Sc 0.0000 0.0000 0.5000 [1 per cell]  8 Zr 3.13, 4 Ta 3.30
3 Ta 0.5000 0.5000 0.5000 [1 per cell]  2 N 2.10
4 N 0.5000 0.5000 0.0000 [1 per cell]  2 Ta 2.10, 4 Zr 2.33

Results
Density of states at the Fermi level = 1.14 states/eV per atom
Total magnetization = 0.0 μB per cell
Crystal system = tetragonal
Formation energy without anion corrections = -608 meV per atom

---

Below is Cs2BaSrI6 after structural relaxation, with properties calculated at the PBE level.

Lattice parameters (Å, degrees): 8.9719 9.4206 15.6683 90.00 124.77 90.00
Last column: nearest neighbours and their distance in Å.
Space group P2_1/c (No. 14)
Unique sites:
1 Cs 0.2233 0.0720 0.2498 [4 per cell]  6 I 3.90-4.13
2 Ba 0.5000 0.0000 0.0000 [2 per cell]  6 I 3.44-3.47
3 Sr 0.0000 0.0000 0.5000 [2 per cell]  6 I 3.29-3.31
4 I 0.1375 0.2094 0.9448 [4 per cell]  1 Sr 3.31, 1 Ba 3.47
5 I 0.2427 0.6973 0.9478 [4 per cell]  1 Sr 3.30, 1 Ba 3.46
6 I 0.3490 0.0305 0.7434 [4 per cell]  1 Sr 3.29, 1 Ba 3.44

Results
Density of states at the Fermi level = 0.00 states/eV per atom
Total magnetization = 0.0 μB per cell
Crystal system = monoclinic
Formation energy without anion corrections = -1674 meV per atom
Polymorph energy (0 for the lowest one) = 0.0 meV/atom

---

Below is SbIrPd2Br after structural relaxation, with properties calculated at the PBE level.

Lattice parameters (Å, degrees): 4.9452 4.9452 5.4085 90.00 90.00 90.00
Last column: nearest neighbours and their distance in Å.
Space group P4/mmm (No. 123)
Unique sites:
1 Sb 0.0000 0.0000 0.0000 [1 per cell]  4 Pd 2.47, 2 Br 2.70
2 Ir 0.5000 0.5000 0.5000 [1 per cell]  4 Br 3.50, 8 Pd 3.66
3 Pd 0.0000 0.5000 0.0000 [2 per cell]  2 Sb 2.47
4 Br 0.0000 0.0000 0.5000 [1 per cell]  2 Sb 2.70

Results
Density of states at the Fermi level = 1.37 states/eV per atom
Total magnetization = 2.0 μB per cell
Crystal system = tetragonal
Formation energy without anion corrections = 1301 meV per atom

---

Below is Ga2HgS4 after structural relaxation, with properties calculated at the PBE level.

Lattice parameters (Å, degrees): 5.2765 5.2765 5.9216 90.00 90.00 90.00
Last column: nearest neighbours and their distance in Å.
Space group P-42m (No. 111)
Unique sites:
1 Ga 0.0000 0.5000 0.0000 [2 per cell]  4 S 2.32
2 Hg 0.0000 0.0000 0.5000 [1 per cell]  4 S 2.58
3 S 0.2719 0.2719 0.7682 [4 per cell]  2 Ga 2.32, 1 Hg 2.58

Results
Total magnetization = 0.0 μB per cell
Crystal system = tetragonal
Formation energy without anion corrections = -526 meV per atom

---

Repeat the first record exactly.
Below is Ca2SbOs after structural relaxation, with properties calculated at the PBE level.

Lattice parameters (Å, degrees): 3.4480 5.0455 11.6400 90.00 90.00 90.00
Last column: nearest neighbours and their distance in Å.
Space group Imm2 (No. 44)
Unique sites:
1 Ca 0.0000 0.0000 0.0000 [2 per cell]  2 Os 3.09, 4 Sb 3.30, 4 Ca 3.44-3.45
2 Ca 0.0000 0.5000 0.2011 [2 per cell]  4 Os 3.06, 2 Sb 3.37
3 Sb 0.0000 0.0000 0.3930 [2 per cell]  2 Os 2.65
4 Os 0.0000 0.5000 0.7202 [2 per cell]  2 Sb 2.65

Results
Density of states at the Fermi level = 1.12 states/eV per atom
Total magnetization = 0.0 μB per cell
Crystal system = orthorhombic
Formation energy without anion corrections = -67 meV per atom

---

Please write out number 3 again, unchanged.
Below is Zr2ScTaN after structural relaxation, with properties calculated at the PBE level.

Lattice parameters (Å, degrees): 4.6621 4.6621 4.1908 90.00 90.00 90.00
Last column: nearest neighbours and their distance in Å.
Space group P4/mmm (No. 123)
Unique sites:
1 Zr 0.0000 0.5000 0.0000 [2 per cell]  2 N 2.33
2 Sc 0.0000 0.0000 0.5000 [1 per cell]  8 Zr 3.13, 4 Ta 3.30
3 Ta 0.5000 0.5000 0.5000 [1 per cell]  2 N 2.10
4 N 0.5000 0.5000 0.0000 [1 per cell]  2 Ta 2.10, 4 Zr 2.33

Results
Density of states at the Fermi level = 1.14 states/eV per atom
Total magnetization = 0.0 μB per cell
Crystal system = tetragonal
Formation energy without anion corrections = -608 meV per atom